The following is a DFT calculation (PBE) of Hf2SiSn after structural relaxation.

## Properties
Raw formation energy, eV per atom: -0.093
Calculated density, g cm⁻³: 10.4
Total magnetization, μB per cell: 0.0
Distance to the lowest polymorph of the same formula, eV per formula unit: 0.30

a b c (Å): 6.8416 6.8416 6.8416
angles (deg): 90.00 90.00 90.00
With the nearest neighbours (Å) after each atom.
Space group Fm-3m (No. 225)
One atom of each set of equivalent atoms:
Hf: 0.2500 0.2500 0.2500 (multiplicity 8)  4 Sn 2.96, 4 Si 2.96
Si: 0.0000 0.0000 0.0000 (multiplicity 4)  8 Hf 2.96
Sn: 0.0000 0.0000 0.5000 (multiplicity 4)  8 Hf 2.96